# MnAs2RhN, relaxed, DFT PBE
data_MnAs2RhN
_chemical_formula_sum 'Mn1 As2 Rh1 N1'
_cell_length_a 4.4000
_cell_length_b 4.4000
_cell_length_c 3.7334
_cell_angle_alpha 90.00
_cell_angle_beta 90.00
_cell_angle_gamma 90.00
_symmetry_space_group_name_H-M 'P 4/m m m'
_symmetry_Int_Tables_number 123
_symmetry_space_group_name_Hall '-P 4 2'
loop_
_atom_site_label
_atom_site_type_symbol
_atom_site_fract_x
_atom_site_fract_y
_atom_site_fract_z
Mn1 Mn 0.0000 0.0000 0.0000
As1 As 0.0000 0.5000 0.5000
Rh1 Rh 0.5000 0.5000 0.0000
N1 N 0.0000 0.0000 0.5000
# Final energy = -6.4985 eV/atom
# ΔE_f (raw) = 331 meV per atom

=====

# Eu2HoTaO6, relaxed, DFT PBE
data_Eu2HoTaO6
_chemical_formula_sum 'Eu4 Ho2 Ta2 O12'
_cell_length_a 5.7844
_cell_length_b 5.9229
_cell_length_c 10.0540
_cell_angle_alpha 90.00
_cell_angle_beta 124.87
_cell_angle_gamma 90.00
_symmetry_space_group_name_H-M 'P 1 21/c 1'
_symmetry_Int_Tables_number 14
loop_
_symmetry_equiv_pos_as_xyz
'x,y,z'
'-x,-y,-z'
'-x,y+1/2,-z+1/2'
'x,-y+1/2,z+1/2'
loop_
_atom_site_label
_atom_site_type_symbol
_atom_site_fract_x
_atom_site_fract_y
_atom_site_fract_z
Eu1 Eu 0.2377 0.0462 0.2505
Ho1 Ho 0.5000 0.0000 0.0000
Ta1 Ta 0.0000 0.0000 0.5000
O1 O 0.1394 0.2223 0.9475
O2 O 0.2311 0.6956 0.9527
O3 O 0.3286 0.0298 0.7352
# Final energy = -9.8379 eV/atom
# ΔE_f (raw) = -3165 meV per atom

=====

# LiTiIrPb, relaxed, DFT PBE
data_LiTiIrPb
_chemical_formula_sum 'Li4 Ti4 Ir4 Pb4'
_cell_length_a 6.4170
_cell_length_b 6.4170
_cell_length_c 6.4170
_cell_angle_alpha 90.00
_cell_angle_beta 90.00
_cell_angle_gamma 90.00
_symmetry_space_group_name_H-M 'F -4 3 m'
_symmetry_Int_Tables_number 216
_symmetry_space_group_name_Hall 'F -4 2 3'
loop_
_atom_site_label
_atom_site_type_symbol
_atom_site_fract_x
_atom_site_fract_y
_atom_site_fract_z
Li1 Li 0.0000 0.0000 0.0000
Ti1 Ti 0.2500 0.2500 0.2500
Ir1 Ir 0.0000 0.0000 0.5000
Pb1 Pb 0.2500 0.2500 0.7500
# Final energy = -5.9708 eV/atom
# ΔE_f = -376 meV per atom

=====

Q: The lowest final energy belongs to which entry?
A: Eu2HoTaO6